Compound: CuTe2Os
Source: Alexandria via LeMat-Bulk
Functional: PBE
Structure: relaxed

```
CuTe2Os
1.0
-0.5735 -1.7662 -2.4514
1.2509 -1.4996 2.3757
-9.1246 -1.9751 3.5577
Cu Os Te
1 1 2
direct
0.0000 0.0000 0.5298
0.5000 0.5000 0.7250
0.0000 0.0000 0.9322
0.5000 0.5000 0.3131
```

Results
Space-group type: Cmm2, No. 35
ρ, g/cm³: 9.8
Offset from the most stable computed form, eV/atom: 0.368
VASP energy, eV/atom: -4.7241
Raw formation energy, meV/atom: 678
DOS(E_F), states/eV per cell: 4.05
Spin magnetization, μB per formula unit: 0.03